The following is a PBE calculation of a relaxed Rb3HgPd2Br9 crystal, from Alexandria.

Output
**Raw formation energy**: -900 meV per atom
**VASP energy**: -2.810 eV per atom
**Total moment**: 0.00 μB per formula unit
**Crystal system**: trigonal
**Space-group type**: No. 164

a = 7.640 Å, b = 7.640 Å, c = 9.345 Å
α = 90.00°, β = 90.00°, γ = 120.00°
Element x y z (fractional)
1 Rb 0.000 0.000 0.000
2 Rb 0.333 0.667 0.667
3 Rb 0.667 0.333 0.333
4 Hg 0.000 0.000 0.500
5 Pd 0.333 0.667 0.156
6 Pd 0.667 0.333 0.844
7 Br 0.000 0.500 0.000
8 Br 0.173 0.345 0.319
9 Br 0.173 0.827 0.319
10 Br 0.345 0.173 0.681
11 Br 0.500 0.000 0.000
12 Br 0.500 0.500 0.000
13 Br 0.655 0.827 0.319
14 Br 0.827 0.173 0.681
15 Br 0.827 0.655 0.681